1.
## LiTlW2 (GGA-PBE)

Data for a geometry-optimized LiTlW2 structure.

Its raw total energy is -6.85 eV/atom. The calculation puts the energy relative to the lowest polymorph listed for this composition at 265 meV per atom. The calculation puts the magnetic moment at 0.00 μB/f.u. Its energy of formation from the pure elements is 268 kJ/mol of formula units.

a b c (Å): 3.5581 4.6889 8.1907
angles (deg): 90.00 90.00 90.00
Space group Imm2 (No. 44)
Symmetry-distinct sites (fractional):
Li  0.0000  0.0000  0.0000 x2
Tl  0.0000  0.5000  0.7350 x2
W  0.0000  0.0000  0.5195 x2
W  0.0000  0.5000  0.2462 x2

=====

2.
## Tm3Te2P (GGA-PBE)

Data for a geometry-optimized Tm3Te2P structure.

Its raw total energy is -5.55 eV/atom. The calculation puts the energy relative to the lowest polymorph listed for this composition at 37 meV per atom. The calculation puts the magnetic moment at 0.00 μB/f.u. Its formation energy (no corrections) is -132 kJ per mole of atoms.

a b c (Å): 7.4179 12.5018 7.1417
angles (deg): 90.00 109.74 90.00
Space group C2/c (No. 15)
Symmetry-distinct sites (fractional):
Tm  0.2015  0.0701  0.4915 x8
Tm  0.2500  0.2500  0.0000 x4
Te  0.0000  0.2629  0.2500 x4
Te  0.0000  0.4215  0.7500 x4
P  0.0000  0.0921  0.7500 x4

=====

Number 1 is which compound?
LiTlW2

=====

What is the magnetic moment in the second record?
0.00 μB/f.u.

=====

What is the raw total energy in the second record?
-5.55 eV/atom